(1)
Material: Pr4Te4Br3
Method: DFT, PBE-GGA
State: optimized geometry

Summary:
Final energy   -4.740 eV per atom
Total moment   0.0003 μB per atom
V   33.559 Å³/atom
Calculated density   5.9 g cm⁻³
E_form (uncorrected)   -1402.8 meV/atom

Cell: 4.334 8.535 19.960 Å, 90.00 90.00 90.00°
Space group Immm (No. 71)
Unique sites:
1 Pr 0.000 0.000 0.225 x4
2 Pr 0.000 0.213 0.500 x4
3 Te 0.000 0.272 0.339 x8
4 Br 0.000 0.000 0.000 x2
5 Br 0.000 0.500 0.077 x4

***

(2)
Material: Er6Sb3C2
Method: DFT, PBE-GGA
State: optimized geometry

Summary:
Final energy   -6.021 eV per atom
Total moment   0.0000 μB per atom
V   24.916 Å³/atom
Calculated density   8.4 g cm⁻³
E_form (uncorrected)   -731.0 meV/atom

Cell: 4.705 4.705 24.765 Å, 90.00 90.00 90.00°
Space group I4/mmm (No. 139)
Unique sites:
1 Er 0.000 0.000 0.192 x4
2 Er 0.000 0.500 0.085 x8
3 Sb 0.000 0.000 0.320 x4
4 Sb 0.000 0.000 0.500 x2
5 C 0.000 0.000 0.101 x4

***

(3)
Material: Ba2ZrMn
Method: DFT, PBE-GGA
State: optimized geometry

Summary:
Final energy   -4.545 eV per atom
Total moment   0.5046 μB per atom
V   33.750 Å³/atom
E_form   0.846 eV per atom
Calculated density   5.2 g cm⁻³
ΔE to the lowest computed polymorph   176 kJ/mol of formula units

Cell: 4.994 5.036 5.368 Å, 90.00 90.00 90.00°
Space group Pmmm (No. 47)
Unique sites:
1 Ba 0.000 0.000 0.000 x1
2 Ba 0.500 0.500 0.000 x1
3 Zr 0.000 0.500 0.500 x1
4 Mn 0.500 0.000 0.500 x1

***

(4)
Material: AcFeSi
Method: DFT, PBE-GGA
State: optimized geometry

Summary:
Final energy   -6.357 eV per atom
Total moment   0.2842 μB per atom
V   22.012 Å³/atom
Calculated density   7.8 g cm⁻³
ΔE to the lowest computed polymorph   34 kJ/mol of formula units
E_form (uncorrected)   -358.6 meV/atom

Cell: 6.308 6.428 7.689 Å, 90.00 122.09 90.00°
Space group P2_1/c (No. 14)
Unique sites:
1 Ac 0.196 0.140 0.399 x4
2 Fe 0.379 0.599 0.331 x4
3 Si 0.320 0.656 0.596 x4